[1]
## Y4ScCd (PBE)

Data for an optimized crystal structure of Y4ScCd.

Crystal system: cubic
Energy above the most stable polymorph in this dataset in eV/atom: 0.385
Raw total energy in eV/f.u.: -31.27
Energy relative to the elements in eV/atom: 0.30
Total magnetization in μB per formula unit: 0.00

Unit cell a=6.363 b=6.363 c=6.363 alpha=60.00 beta=60.00 gamma=60.00
Sites, in units of the cell vectors:
1 Y 0.374 0.374 0.877
2 Y 0.374 0.374 0.374
3 Y 0.374 0.877 0.374
4 Y 0.877 0.374 0.374
5 Cd 0.750 0.750 0.750
6 Sc 0.000 0.000 0.000

---

[2]
## YSc2Cd (PBE)

Data for an optimized crystal structure of YSc2Cd.

Crystal system: monoclinic
Raw total energy in eV/f.u.: -20.48
Energy relative to the elements in eV/atom: -0.11
Total magnetization in μB per formula unit: 0.00

Unit cell a=6.220 b=6.220 c=5.045 alpha=66.14 beta=66.14 gamma=34.86
Sites, in units of the cell vectors:
1 Sc 0.746 0.746 0.754
2 Sc 0.975 0.975 0.024
3 Y 0.520 0.520 0.480
4 Cd 0.258 0.258 0.242